(1)
# La3Br2N2 | the Alexandria database | PBE | relaxed
data_La3Br2N2
_symmetry_space_group_name_H-M 'P 1'
_symmetry_Int_Tables_number 1
_cell_length_a 3.694
_cell_length_b 6.545
_cell_length_c 7.851
_cell_angle_alpha 99.73
_cell_angle_beta 90.04
_cell_angle_gamma 106.35
loop_
_symmetry_equiv_pos_as_xyz
'x,y,z'
loop_
_atom_site_label
_atom_site_fract_x
_atom_site_fract_y
_atom_site_fract_z
La1 0.000 0.000 0.000
La2 0.225 0.450 0.801
La3 0.775 0.550 0.199
Br1 0.119 0.237 0.379
Br2 0.881 0.763 0.621
N1 0.361 0.721 0.048
N2 0.639 0.279 0.952
# **Space group**: P-1
# **Total DFT energy (no corrections)**: -0.482 Ry per atom

***

(2)
# PmPr4Dy2Er2 | the Alexandria database | PBE | relaxed
data_PmPr4Dy2Er2
_symmetry_space_group_name_H-M 'P 1'
_symmetry_Int_Tables_number 1
_cell_length_a 8.109
_cell_length_b 8.109
_cell_length_c 8.090
_cell_angle_alpha 107.32
_cell_angle_beta 107.32
_cell_angle_gamma 36.77
loop_
_symmetry_equiv_pos_as_xyz
'x,y,z'
loop_
_atom_site_label
_atom_site_fract_x
_atom_site_fract_y
_atom_site_fract_z
Pm1 0.000 0.000 0.000
Pr1 0.223 0.223 0.331
Pr2 0.446 0.446 0.669
Pr3 0.554 0.554 0.331
Pr4 0.777 0.777 0.669
Dy1 0.112 0.112 0.669
Dy2 0.888 0.888 0.331
Er1 0.332 0.332 0.001
Er2 0.668 0.668 0.999
# **Energy of formation**: 20 meV per atom
# **Space group**: C2/m

***

(3)
# Ac2Hg3Rh2 | the Alexandria database | PBE | relaxed
data_Ac2Hg3Rh2
_symmetry_space_group_name_H-M 'P 1'
_symmetry_Int_Tables_number 1
_cell_length_a 5.928
_cell_length_b 5.928
_cell_length_c 7.408
_cell_angle_alpha 95.97
_cell_angle_beta 95.97
_cell_angle_gamma 43.55
loop_
_symmetry_equiv_pos_as_xyz
'x,y,z'
loop_
_atom_site_label
_atom_site_fract_x
_atom_site_fract_y
_atom_site_fract_z
Ac1 0.124 0.124 0.346
Ac2 0.876 0.876 0.654
Hg1 0.185 0.185 0.858
Hg2 0.500 0.500 0.000
Hg3 0.815 0.815 0.142
Rh1 0.413 0.413 0.356
Rh2 0.587 0.587 0.644
# **Energy of formation**: -457 meV per atom
# **Energy relative to the lowest polymorph listed for this composition**: 0.023 eV per atom
# **Space group**: C2/m

***

(4)
# Ca2ScTc | the Alexandria database | PBE | relaxed
data_Ca2ScTc
_symmetry_space_group_name_H-M 'P 1'
_symmetry_Int_Tables_number 1
_cell_length_a 4.382
_cell_length_b 4.382
_cell_length_c 4.967
_cell_angle_alpha 90.00
_cell_angle_beta 90.00
_cell_angle_gamma 90.00
loop_
_symmetry_equiv_pos_as_xyz
'x,y,z'
loop_
_atom_site_label
_atom_site_fract_x
_atom_site_fract_y
_atom_site_fract_z
Ca1 0.000 0.500 0.000
Ca2 0.500 0.000 0.000
Sc1 0.000 0.000 0.500
Tc1 0.500 0.500 0.500
# **Energy of formation**: 480 meV per atom
# **Energy relative to the lowest polymorph listed for this composition**: 0.354 eV per atom
# **Space group**: P4/mmm

***

(5)
# InB3Au | the Alexandria database | PBE | relaxed
data_InB3Au
_symmetry_space_group_name_H-M 'P 1'
_symmetry_Int_Tables_number 1
_cell_length_a 4.488
_cell_length_b 4.488
_cell_length_c 4.488
_cell_angle_alpha 90.00
_cell_angle_beta 90.00
_cell_angle_gamma 90.00
loop_
_symmetry_equiv_pos_as_xyz
'x,y,z'
loop_
_atom_site_label
_atom_site_fract_x
_atom_site_fract_y
_atom_site_fract_z
In1 0.000 0.000 0.000
B1 0.000 0.000 0.500
B2 0.000 0.500 0.000
B3 0.500 0.000 0.000
Au1 0.500 0.500 0.500
# **Energy of formation**: 2309 meV per atom
# **Energy relative to the lowest polymorph listed for this composition**: 0.648 eV per atom
# **Space group**: Pm-3m

***

(6)
# Er3Ga2Cu7 | the Alexandria database | PBE | relaxed
data_Er3Ga2Cu7
_symmetry_space_group_name_H-M 'P 1'
_symmetry_Int_Tables_number 1
_cell_length_a 13.711
_cell_length_b 13.711
_cell_length_c 13.711
_cell_angle_alpha 163.54
_cell_angle_beta 163.54
_cell_angle_gamma 23.36
loop_
_symmetry_equiv_pos_as_xyz
'x,y,z'
loop_
_atom_site_label
_atom_site_fract_x
_atom_site_fract_y
_atom_site_fract_z
Er1 0.000 0.000 0.000
Er2 0.173 0.173 0.000
Er3 0.827 0.827 0.000
Ga1 0.369 0.369 0.000
Ga2 0.631 0.631 0.000
Cu1 0.076 0.576 0.500
Cu2 0.276 0.276 0.000
Cu3 0.424 0.924 0.500
Cu4 0.500 0.500 0.000
Cu5 0.576 0.076 0.500
Cu6 0.724 0.724 0.000
Cu7 0.924 0.424 0.500
# **Energy of formation**: -161 meV per atom
# **Space group**: I4/mmm

***

(7)
# NaSm3GeS7 | the Alexandria database | PBE | relaxed
data_NaSm3GeS7
_symmetry_space_group_name_H-M 'P 1'
_symmetry_Int_Tables_number 1
_cell_length_a 10.175
_cell_length_b 10.175
_cell_length_c 5.847
_cell_angle_alpha 90.00
_cell_angle_beta 90.00
_cell_angle_gamma 120.00
loop_
_symmetry_equiv_pos_as_xyz
'x,y,z'
loop_
_atom_site_label
_atom_site_fract_x
_atom_site_fract_y
_atom_site_fract_z
Na1 0.000 0.000 0.000
Na2 0.000 0.000 0.500
Sm1 0.129 0.361 0.276
Sm2 0.232 0.871 0.276
Sm3 0.361 0.232 0.776
Sm4 0.639 0.768 0.276
Sm5 0.768 0.129 0.776
Sm6 0.871 0.639 0.776
Ge1 0.333 0.667 0.859
Ge2 0.667 0.333 0.359
S1 0.095 0.261 0.747
S2 0.104 0.586 0.019
S3 0.165 0.905 0.747
S4 0.261 0.165 0.247
S5 0.333 0.667 0.482
S6 0.414 0.519 0.019
S7 0.481 0.896 0.019
S8 0.519 0.104 0.519
S9 0.586 0.481 0.519
S10 0.667 0.333 0.982
S11 0.739 0.835 0.747
S12 0.835 0.095 0.247
S13 0.896 0.414 0.519
S14 0.905 0.739 0.247
# **Space group**: P6_3
# **Total DFT energy (no corrections)**: -0.412 Ry per atom